# 1
Density functional theory data (PBE) for a relaxed CaCoTe crystal.

Output
* total DFT energy (no corrections): -4.491 eV/atom
* magnetization: 0.2935 μB/atom
* E_form (uncorrected): -1.22 eV per formula unit
* energy above the lowest structure with this stoichiometry: 3.53 kcal/mol of atoms

Cell and atoms, written as extended XYZ:
```
3
Lattice="4.515 0.000 0.000 2.257 3.910 0.000 2.257 1.303 3.686" Properties=species:S:1:pos:R:3 pbc="T T T"
Ca 4.515 2.607 1.843
Te 0.000 0.000 0.000
Co 6.772 3.910 2.765
```

---

# 2
Density functional theory data (PBE) for a relaxed Ba2IF2 crystal.

Output
* total DFT energy (no corrections): -4.587 eV/atom
* magnetization: 0.1911 μB/atom
* E_form (uncorrected): -13.79 eV per formula unit

Cell and atoms, written as extended XYZ:
```
5
Lattice="4.716 0.000 0.000 0.000 4.716 0.000 2.358 2.358 6.807" Properties=species:S:1:pos:R:3 pbc="T T T"
I 0.000 0.000 0.000
Ba 2.358 2.358 2.080
Ba 4.716 4.716 4.727
F 4.716 2.358 3.403
F 2.358 4.716 3.403
```

---

- Which of these has the lowest E_form (uncorrected)?
  Ba2IF2

---

- Which value of E_form (uncorrected) does entry 2 give?
  -13.79 eV per formula unit

---

- The highest total DFT energy (no corrections) belongs to which entry?
  CaCoTe